Material: PuPaTeSe
Method: DFT, PBE
State: optimized geometry

Computed properties:
Uncorrected energy (eV per atom): -8.592
Total magnetic moment (μB per atom): 1.807
Symmetry: No. 160
Energy relative to the elements, uncorrected (eV/atom): -0.9783
Offset from the most stable computed form (meV/atom): 0

Geometry as POSCAR:
```
PuPaTeSe
1.0
2.0146 1.1631 7.7928
-2.0146 1.1631 7.7928
0.0000 -2.3263 7.7928
Pu Pa Te Se
1 1 1 1
direct
0.0000 0.0000 0.0000
0.8409 0.8409 0.8409
0.4199 0.4199 0.4199
0.5879 0.5879 0.5879
```